1.
Compound: ZrNbAg
Source: Alexandria via LeMat-Bulk
Functional: GGA-PBE
Structure: relaxed

Summary:
M_tot in μB per formula unit: 0.0
Crystal system: orthorhombic
Offset from the most stable computed form in kJ/mol of atoms: 13.7
N(E_F) in states/eV/f.u.: 2.4
Energy of formation from the pure elements in eV/atom: 0.06

```
data_ZrNbAg
_chemical_formula_sum 'Zr4 Nb4 Ag4'
_cell_length_a 3.8694
_cell_length_b 4.3663
_cell_length_c 13.8062
_cell_angle_alpha 90.00
_cell_angle_beta 90.00
_cell_angle_gamma 90.00
_symmetry_space_group_name_H-M 'F m m 2'
_symmetry_Int_Tables_number 42
_symmetry_space_group_name_Hall 'F 2 -2'
loop_
_atom_site_label
_atom_site_type_symbol
_atom_site_fract_x
_atom_site_fract_y
_atom_site_fract_z
Zr1 Zr 0.0000 0.0000 0.0000
Nb1 Nb 0.0000 0.0000 0.6653
Ag1 Ag 0.0000 0.0000 0.3278
```

2.
Compound: Na2Sn5Cl12
Source: Alexandria via LeMat-Bulk
Functional: GGA-PBE
Structure: relaxed

Summary:
M_tot in μB per formula unit: 0.0
Crystal system: monoclinic
Formation energy (no corrections) in eV/f.u.: -21.7
Offset from the most stable computed form in kJ/mol of atoms: 0.0
N(E_F) in states/eV/f.u.: 0.0

```
data_Na2Sn5Cl12
_chemical_formula_sum 'Na4 Sn10 Cl24'
_cell_length_a 15.1743
_cell_length_b 8.5184
_cell_length_c 9.8846
_cell_angle_alpha 90.00
_cell_angle_beta 111.49
_cell_angle_gamma 90.00
_symmetry_space_group_name_H-M 'C 1 2/m 1'
_symmetry_Int_Tables_number 12
_symmetry_space_group_name_Hall '-C 2y'
loop_
_atom_site_label
_atom_site_type_symbol
_atom_site_fract_x
_atom_site_fract_y
_atom_site_fract_z
Na1 Na 0.0000 0.2494 0.0000
Sn1 Sn 0.0000 0.0000 0.5000
Sn2 Sn 0.1663 0.5000 0.3758
Sn3 Sn 0.2413 0.5000 0.9729
Cl1 Cl 0.0086 0.5000 0.8121
Cl2 Cl 0.0757 0.0000 0.8483
Cl3 Cl 0.1250 0.2358 0.4919
Cl4 Cl 0.1951 0.2883 0.1404
```

3.
Compound: CsHgPdCl6
Source: Alexandria via LeMat-Bulk
Functional: GGA-PBE
Structure: relaxed

Summary:
M_tot in μB per formula unit: 1.0
Crystal system: monoclinic
Formation energy (no corrections) in eV/f.u.: -7.3

```
data_CsHgPdCl6
_chemical_formula_sum 'Cs2 Hg2 Pd2 Cl12'
_cell_length_a 7.0681
_cell_length_b 11.3323
_cell_length_c 7.7022
_cell_angle_alpha 90.00
_cell_angle_beta 93.08
_cell_angle_gamma 90.00
_symmetry_space_group_name_H-M 'C 1 2 1'
_symmetry_Int_Tables_number 5
_symmetry_space_group_name_Hall 'C 2y'
loop_
_atom_site_label
_atom_site_type_symbol
_atom_site_fract_x
_atom_site_fract_y
_atom_site_fract_z
Cs1 Cs 0.0000 0.0000 0.0000
Hg1 Hg 0.0000 0.6781 0.5000
Pd1 Pd 0.0000 0.3304 0.5000
Cl1 Cl 0.1328 0.4809 0.6781
Cl2 Cl 0.1592 0.1880 0.6777
Cl3 Cl 0.2103 0.8140 0.7018
```

4.
Compound: HfScCuSe4
Source: Alexandria via LeMat-Bulk
Functional: GGA-PBE
Structure: relaxed

Summary:
M_tot in μB per formula unit: 0.0
Crystal system: orthorhombic
Formation energy (no corrections) in eV/f.u.: -8.5
N(E_F) in states/eV/f.u.: 0.3

```
data_HfScCuSe4
_chemical_formula_sum 'Hf4 Sc4 Cu4 Se16'
_cell_length_a 7.7227
_cell_length_b 7.7612
_cell_length_c 10.9693
_cell_angle_alpha 90.00
_cell_angle_beta 90.00
_cell_angle_gamma 90.00
_symmetry_space_group_name_H-M 'I m m a'
_symmetry_Int_Tables_number 74
_symmetry_space_group_name_Hall '-I 2b 2'
loop_
_atom_site_label
_atom_site_type_symbol
_atom_site_fract_x
_atom_site_fract_y
_atom_site_fract_z
Hf1 Hf 0.2500 0.2500 0.2500
Sc1 Sc 0.0000 0.0000 0.0000
Cu1 Cu 0.0000 0.2500 0.6204
Se1 Se 0.0000 0.0072 0.2493
Se2 Se 0.2441 0.2500 0.0064
```

5.
Compound: Pm2PrTe2
Source: Alexandria via LeMat-Bulk
Functional: GGA-PBE
Structure: relaxed

Summary:
M_tot in μB per formula unit: 0.0
Crystal system: trigonal
Formation energy (no corrections) in eV/f.u.: -4.9
N(E_F) in states/eV/f.u.: 4.2

```
data_Pm2PrTe2
_chemical_formula_sum 'Pm2 Pr1 Te2'
_cell_length_a 4.8523
_cell_length_b 4.8523
_cell_length_c 8.0388
_cell_angle_alpha 90.00
_cell_angle_beta 90.00
_cell_angle_gamma 120.00
_symmetry_space_group_name_H-M 'P -3 m 1'
_symmetry_Int_Tables_number 164
_symmetry_space_group_name_Hall '-P 3 2"'
loop_
_atom_site_label
_atom_site_type_symbol
_atom_site_fract_x
_atom_site_fract_y
_atom_site_fract_z
Pm1 Pm 0.3333 0.6667 0.1398
Pr1 Pr 0.0000 0.0000 0.5000
Te1 Te 0.3333 0.6667 0.7074
```

6.
Compound: HgPPd2
Source: Alexandria via LeMat-Bulk
Functional: GGA-PBE
Structure: relaxed

Summary:
M_tot in μB per formula unit: 0.0
Crystal system: cubic
Offset from the most stable computed form in kJ/mol of atoms: 22.1
N(E_F) in states/eV/f.u.: 1.3
Energy of formation from the pure elements in eV/atom: 0.04

```
data_HgPPd2
_chemical_formula_sum 'Hg4 P4 Pd8'
_cell_length_a 6.4203
_cell_length_b 6.4203
_cell_length_c 6.4203
_cell_angle_alpha 90.00
_cell_angle_beta 90.00
_cell_angle_gamma 90.00
_symmetry_space_group_name_H-M 'F m -3 m'
_symmetry_Int_Tables_number 225
_symmetry_space_group_name_Hall '-F 4 2 3'
loop_
_atom_site_label
_atom_site_type_symbol
_atom_site_fract_x
_atom_site_fract_y
_atom_site_fract_z
Hg1 Hg 0.0000 0.0000 0.0000
P1 P 0.0000 0.0000 0.5000
Pd1 Pd 0.2500 0.2500 0.2500
```

7.
Compound: KZnSb2
Source: Alexandria via LeMat-Bulk
Functional: GGA-PBE
Structure: relaxed

Summary:
M_tot in μB per formula unit: 0.0
Crystal system: orthorhombic
Formation energy (no corrections) in eV/f.u.: -1.0
N(E_F) in states/eV/f.u.: 1.9

```
data_KZnSb2
_chemical_formula_sum 'K8 Zn8 Sb16'
_cell_length_a 6.2093
_cell_length_b 27.5985
_cell_length_c 5.9755
_cell_angle_alpha 90.00
_cell_angle_beta 90.00
_cell_angle_gamma 90.00
_symmetry_space_group_name_H-M 'F m m 2'
_symmetry_Int_Tables_number 42
_symmetry_space_group_name_Hall 'F 2 -2'
loop_
_atom_site_label
_atom_site_type_symbol
_atom_site_fract_x
_atom_site_fract_y
_atom_site_fract_z
K1 K 0.0000 0.1156 0.0000
Zn1 Zn 0.2500 0.2500 0.2513
Sb1 Sb 0.0000 0.1872 0.5008
Sb2 Sb 0.2295 0.0000 0.7210
```

8.
Compound: NaCuAuSe2
Source: Alexandria via LeMat-Bulk
Functional: GGA-PBE
Structure: relaxed

Summary:
M_tot in μB per formula unit: 0.0
Crystal system: monoclinic
Formation energy (no corrections) in eV/f.u.: -1.8
N(E_F) in states/eV/f.u.: 3.7

```
data_NaCuAuSe2
_chemical_formula_sum 'Na2 Cu2 Au2 Se4'
_cell_length_a 6.2387
_cell_length_b 5.4041
_cell_length_c 6.9020
_cell_angle_alpha 90.00
_cell_angle_beta 101.20
_cell_angle_gamma 90.00
_symmetry_space_group_name_H-M 'P 1 2/c 1'
_symmetry_Int_Tables_number 13
_symmetry_space_group_name_Hall '-P 2yc'
loop_
_atom_site_label
_atom_site_type_symbol
_atom_site_fract_x
_atom_site_fract_y
_atom_site_fract_z
Na1 Na 0.0000 0.1511 0.2500
Cu1 Cu 0.5000 0.4308 0.2500
Au1 Au 0.5000 0.0000 0.0000
Se1 Se 0.2436 0.3475 0.9407
```

9.
Compound: TbDySb
Source: Alexandria via LeMat-Bulk
Functional: GGA-PBE
Structure: relaxed

Summary:
M_tot in μB per formula unit: 0.0
Crystal system: tetragonal
Formation energy (no corrections) in eV/f.u.: -2.4
N(E_F) in states/eV/f.u.: 2.2

```
data_TbDySb
_chemical_formula_sum 'Tb2 Dy2 Sb2'
_cell_length_a 4.4766
_cell_length_b 4.4766
_cell_length_c 8.5043
_cell_angle_alpha 90.00
_cell_angle_beta 90.00
_cell_angle_gamma 90.00
_symmetry_space_group_name_H-M 'P 4/n m m'
_symmetry_Int_Tables_number 129
loop_
_symmetry_equiv_pos_as_xyz
'x,y,z'
'-x,-y,-z'
'-y+1/2,x,z'
'y+1/2,-x,-z'
'-x+1/2,-y+1/2,z'
'x+1/2,y+1/2,-z'
'y,-x+1/2,z'
'-y,x+1/2,-z'
'x+1/2,-y,-z'
'-x+1/2,y,z'
'-y,-x,-z'
'y,x,z'
'-x,y+1/2,-z'
'x,-y+1/2,z'
'y+1/2,x+1/2,-z'
'-y+1/2,-x+1/2,z'
loop_
_atom_site_label
_atom_site_type_symbol
_atom_site_fract_x
_atom_site_fract_y
_atom_site_fract_z
Tb1 Tb 0.2500 0.2500 0.1488
Dy1 Dy 0.2500 0.7500 0.5000
Sb1 Sb 0.2500 0.2500 0.7794
```

10.
Compound: Pr3NdAu2
Source: Alexandria via LeMat-Bulk
Functional: GGA-PBE
Structure: relaxed

Summary:
M_tot in μB per formula unit: 0.0
Crystal system: monoclinic
Offset from the most stable computed form in kJ/mol of atoms: 4.4
N(E_F) in states/eV/f.u.: 6.9
Energy of formation from the pure elements in eV/atom: -0.46

```
data_Pr3NdAu2
_chemical_formula_sum 'Pr12 Nd4 Au8'
_cell_length_a 17.4524
_cell_length_b 4.7446
_cell_length_c 9.9490
_cell_angle_alpha 90.00
_cell_angle_beta 118.23
_cell_angle_gamma 90.00
_symmetry_space_group_name_H-M 'C 1 2/m 1'
_symmetry_Int_Tables_number 12
_symmetry_space_group_name_Hall '-C 2y'
loop_
_atom_site_label
_atom_site_type_symbol
_atom_site_fract_x
_atom_site_fract_y
_atom_site_fract_z
Pr1 Pr 0.0548 0.0000 0.3884
Pr2 Pr 0.1351 0.5000 0.7254
Pr3 Pr 0.2025 0.5000 0.3561
Nd1 Nd 0.1117 0.0000 0.0284
Au1 Au 0.0077 0.5000 0.1541
Au2 Au 0.2473 0.5000 0.0890
```

11.
Compound: TlVCrBr2
Source: Alexandria via LeMat-Bulk
Functional: GGA-PBE
Structure: relaxed

Summary:
M_tot in μB per formula unit: 2.0
Crystal system: tetragonal
Formation energy (no corrections) in eV/f.u.: 1.1
N(E_F) in states/eV/f.u.: 1.3

```
data_TlVCrBr2
_chemical_formula_sum 'Tl1 V1 Cr1 Br2'
_cell_length_a 5.1769
_cell_length_b 5.1769
_cell_length_c 5.0805
_cell_angle_alpha 90.00
_cell_angle_beta 90.00
_cell_angle_gamma 90.00
_symmetry_space_group_name_H-M 'P 4/m m m'
_symmetry_Int_Tables_number 123
_symmetry_space_group_name_Hall '-P 4 2'
loop_
_atom_site_label
_atom_site_type_symbol
_atom_site_fract_x
_atom_site_fract_y
_atom_site_fract_z
Tl1 Tl 0.0000 0.0000 0.0000
V1 V 0.5000 0.5000 0.5000
Cr1 Cr 0.5000 0.5000 0.0000
Br1 Br 0.0000 0.5000 0.5000
```

12.
Compound: InTeS
Source: Alexandria via LeMat-Bulk
Functional: GGA-PBE
Structure: relaxed

Summary:
M_tot in μB per formula unit: 0.0
Crystal system: triclinic
Formation energy (no corrections) in eV/f.u.: -0.9
Offset from the most stable computed form in kJ/mol of atoms: 2.5
N(E_F) in states/eV/f.u.: 0.5

```
data_InTeS
_chemical_formula_sum 'In2 Te2 S2'
_cell_length_a 4.0075
_cell_length_b 5.6775
_cell_length_c 7.4487
_cell_angle_alpha 90.12
_cell_angle_beta 105.41
_cell_angle_gamma 90.05
_symmetry_space_group_name_H-M 'P -1'
_symmetry_Int_Tables_number 2
_symmetry_space_group_name_Hall '-P 1'
loop_
_atom_site_label
_atom_site_type_symbol
_atom_site_fract_x
_atom_site_fract_y
_atom_site_fract_z
In1 In 0.1816 0.2480 0.3612
Te1 Te 0.4761 0.7505 0.9554
S1 S 0.2017 0.7497 0.4030
```